# 1
This record from Alexandria via LeMat-Bulk describes crystalline LiTbHo2Se5 at its relaxed geometry. The functional is PBE.

Properties
space-group type: Cmc2_1 (36)
uncorrected energy: -5.3496 eV per atom
uncorrected formation energy: -1669 meV per atom
density: 6.951 g/cm³

Unit cell a=4.0496 b=8.7089 c=12.4043 alpha=90.00 beta=90.00 gamma=103.44
Fractional coordinates of all 18 atoms:
1 Se 0.9556 0.9112 0.5770
2 Ho 0.8918 0.7837 0.1839
3 Li 0.4881 0.9763 0.4819
4 Li 0.5119 0.0237 0.9819
5 Tb 0.8050 0.6100 0.5004
6 Se 0.7138 0.4275 0.1637
7 Se 0.3072 0.6144 0.3375
8 Ho 0.1082 0.2163 0.6839
9 Se 0.2862 0.5725 0.6637
10 Tb 0.1950 0.3900 0.0004
11 Se 0.3626 0.7252 0.0032
12 Ho 0.8757 0.7515 0.7904
13 Ho 0.1243 0.2485 0.2904
14 Se 0.5000 0.0001 0.7860
15 Se 0.0444 0.0888 0.0770
16 Se 0.6928 0.3856 0.8375
17 Se 0.5000 0.9999 0.2860
18 Se 0.6374 0.2748 0.5032

---

# 2
This record from Alexandria via LeMat-Bulk describes crystalline Pm3CuPt2 at its relaxed geometry. The functional is PBE.

Properties
energy relative to the lowest polymorph listed for this composition: 0.000 eV/atom
space-group type: Pnma (62)
uncorrected energy: -5.9115 eV per atom
density: 10.139 g/cm³
formation energy: -0.840 eV per atom

Unit cell a=4.0683 b=12.0468 c=11.8791 alpha=90.00 beta=90.00 gamma=90.00
Fractional coordinates of all 24 atoms:
1 Pt 0.2500 0.4916 0.8171
2 Pt 0.7500 0.5084 0.1829
3 Pt 0.2500 0.0084 0.3171
4 Pm 0.7500 0.3137 0.7873
5 Cu 0.7500 0.8775 0.8789
6 Pt 0.7500 0.9916 0.6829
7 Cu 0.7500 0.6225 0.3789
8 Pm 0.2500 0.6863 0.2127
9 Cu 0.2500 0.3775 0.6211
10 Pt 0.2500 0.6925 0.4955
11 Pm 0.7500 0.9353 0.1283
12 Pm 0.2500 0.1270 0.5509
13 Pt 0.7500 0.3075 0.5045
14 Pm 0.2500 0.3730 0.0509
15 Pm 0.2500 0.8137 0.7127
16 Pm 0.7500 0.8730 0.4491
17 Pm 0.2500 0.4353 0.3717
18 Pm 0.7500 0.1863 0.2873
19 Pm 0.7500 0.6270 0.9491
20 Pt 0.7500 0.1925 0.0045
21 Pm 0.2500 0.0647 0.8717
22 Pm 0.7500 0.5647 0.6283
23 Pt 0.2500 0.8075 0.9955
24 Cu 0.2500 0.1225 0.1211

---

# 3
This record from Alexandria via LeMat-Bulk describes crystalline RbBTe2Mo at its relaxed geometry. The functional is PBE.

Properties
space-group type: P4/mmm (123)
uncorrected energy: -2.2801 eV per atom
uncorrected formation energy: 2672 meV per atom
density: 4.432 g/cm³

Unit cell a=6.0130 b=4.6368 c=6.0130 alpha=90.00 beta=90.00 gamma=90.00
Fractional coordinates of all 5 atoms:
1 Mo 0.5000 0.5000 0.5000
2 Te 0.5000 0.0000 0.0000
3 Te 0.0000 0.0000 0.5000
4 B 0.0000 0.5000 0.0000
5 Rb 0.0000 0.0000 0.0000